# MnGaCoF6 (PBE+U, relaxed)
data_MnGaCoF6
_space_group_name_H-M_alt 'P 1'
_space_group_IT_number 1
_cell_length_a 5.320
_cell_length_b 5.320
_cell_length_c 9.254
_cell_angle_alpha 90.00
_cell_angle_beta 90.00
_cell_angle_gamma 120.00
loop_
_space_group_symop_operation_xyz
'x,y,z'
loop_
_atom_site_label
_atom_site_type_symbol
_atom_site_fract_x
_atom_site_fract_y
_atom_site_fract_z
F1 F 0.358 0.039 0.132
F2 F 0.642 0.681 0.632
F3 F 0.039 0.681 0.868
F4 F 0.319 0.961 0.632
F5 F 0.039 0.358 0.632
F6 F 0.961 0.642 0.368
F7 F 0.319 0.358 0.868
F8 F 0.961 0.319 0.132
F9 F 0.642 0.961 0.868
F10 F 0.681 0.039 0.368
F11 F 0.358 0.319 0.368
F12 F 0.681 0.642 0.132
Mn1 Mn 0.000 0.000 0.000
Mn2 Mn 0.000 0.000 0.500
Ga1 Ga 0.333 0.667 0.750
Ga2 Ga 0.667 0.333 0.250
Co1 Co 0.333 0.667 0.250
Co2 Co 0.667 0.333 0.750
# E	-5.23	eV/atom
# D(E_F)	0.37	states/eV per atom
# space group	P-31c (163)